a | ## Ta4FeCu (PBE-GGA)

Data for crystalline Ta4FeCu at its relaxed geometry.

Properties
The calculation puts the mass density at 14.53 g/cm³.

Unit cell a=6.2101 b=6.2101 c=4.9989 alpha=90.00 beta=90.00 gamma=90.00
Closest atoms and distances in Å follow each position.
Element x y z (fractional)
Ta (0.1518, 0.3317, 0.0000)  2 Fe 2.59, 2 Cu 2.71, 1 Ta 2.82
Ta (0.1518, 0.6683, 0.5000)  2 Fe 2.59, 2 Cu 2.71, 1 Ta 2.82
Ta (0.3317, 0.1518, 0.5000)  2 Fe 2.59, 2 Cu 2.71, 1 Ta 2.82
Ta (0.3317, 0.8482, 0.0000)  2 Fe 2.59, 2 Cu 2.71, 1 Ta 2.82
Ta (0.6683, 0.1518, 0.0000)  2 Fe 2.59, 2 Cu 2.71, 1 Ta 2.82
Ta (0.6683, 0.8482, 0.5000)  2 Fe 2.59, 2 Cu 2.71, 1 Ta 2.82
Ta (0.8482, 0.3317, 0.5000)  2 Fe 2.59, 2 Cu 2.71, 1 Ta 2.82
Ta (0.8482, 0.6683, 0.0000)  2 Fe 2.59, 2 Cu 2.71, 1 Ta 2.82
Fe (0.0000, 0.0000, 0.2500)  2 Fe 2.50, 8 Ta 2.59
Fe (0.0000, 0.0000, 0.7500)  2 Fe 2.50, 8 Ta 2.59
Cu (0.5000, 0.5000, 0.2500)  2 Cu 2.50, 8 Ta 2.71
Cu (0.5000, 0.5000, 0.7500)  2 Cu 2.50, 8 Ta 2.71

b | ## Ta4FeCu (PBE-GGA)

Data for crystalline Ta4FeCu at its relaxed geometry.

Properties
The calculation puts the mass density at 12.90 g/cm³.

Unit cell a=5.3548 b=5.3548 c=5.3548 alpha=60.00 beta=60.00 gamma=60.00
Closest atoms and distances in Å follow each position.
Element x y z (fractional)
Ta (0.1255, 0.1255, 0.1255)  6 Ta 2.67-2.69
Ta (0.1255, 0.1255, 0.6236)  6 Ta 2.67-2.69
Ta (0.1255, 0.6236, 0.1255)  6 Ta 2.67-2.69
Ta (0.6236, 0.1255, 0.1255)  6 Ta 2.67-2.69
Fe (0.5000, 0.5000, 0.5000)  12 Ta 3.14, 4 Cu 3.28
Cu (0.7500, 0.7500, 0.7500)  12 Ta 3.14, 4 Fe 3.28

So which one is most stable? That would be a, about 764 meV per atom below the next structure.